{"formula": "GaGeH2", "functional": "PBE", "state": "relaxed", "space_group": "No. 225", "energy_ev_per_atom": -2.9302, "lattice": [[0.0000, 2.8133, 2.8133], [2.8133, 0.0000, 2.8133], [2.8133, 2.8133, 0.0000]], "species": ["Ga", "Ge", "H", "H"], "fractional_positions": [[0.0000, 0.0000, 0.0000], [0.5000, 0.5000, 0.5000], [0.2500, 0.2500, 0.2500], [0.7500, 0.7500, 0.7500]]}

{"formula": "SiPOs", "functional": "PBE", "state": "relaxed", "space_group": "No. 107", "raw_formation_energy_ev_per_atom": 0.155, "lattice": [[-1.4366, 1.4366, 5.5760], [1.4366, -1.4366, 5.5760], [1.4366, 1.4366, -5.5760]], "species": ["Si", "P", "Os"], "fractional_positions": [[0.0000, 0.0000, 0.0000], [0.7245, 0.7245, 0.0000], [0.3506, 0.3506, 0.0000]]}